Version i
DFT (PBE-GGA) results for a geometry-optimized Pm2Nd3Tl3 structure.

Properties
The volume is 32.2 Å³ per atom. The value obtained for the magnetic moment is 0.00 μB per formula unit. As for the crystal system: hexagonal.

Cell: 9.2962 9.2962 6.8926 Å, 90.00 90.00 120.00°
Fractional coordinates of all 16 atoms:
1 Pm 0.3333 0.6667 0.0000
2 Pm 0.3333 0.6667 0.5000
3 Pm 0.6667 0.3333 0.0000
4 Pm 0.6667 0.3333 0.5000
5 Nd 0.0000 0.2363 0.2500
6 Nd 0.0000 0.7637 0.7500
7 Nd 0.2363 0.0000 0.2500
8 Nd 0.2363 0.2363 0.7500
9 Nd 0.7637 0.0000 0.7500
10 Nd 0.7637 0.7637 0.2500
11 Tl 0.0000 0.4036 0.7500
12 Tl 0.0000 0.5964 0.2500
13 Tl 0.4036 0.0000 0.7500
14 Tl 0.4036 0.4036 0.2500
15 Tl 0.5964 0.0000 0.2500
16 Tl 0.5964 0.5964 0.7500

***

Version ii
DFT (PBE-GGA) results for a geometry-optimized Pm2Nd3Tl3 structure.

Properties
The volume is 30.6 Å³ per atom. The value obtained for the magnetic moment is 0.00 μB per formula unit. As for the crystal system: orthorhombic.

Cell: 11.1741 11.1741 11.1741 Å, 156.62 153.69 35.48°
Fractional coordinates of all 8 atoms:
1 Pm 0.2368 0.2368 0.0000
2 Pm 0.7632 0.7632 0.0000
3 Nd 0.0000 0.0000 0.0000
4 Nd 0.3809 0.8809 0.5000
5 Nd 0.6191 0.1191 0.5000
6 Tl 0.1269 0.6269 0.5000
7 Tl 0.5000 0.5000 0.0000
8 Tl 0.8731 0.3731 0.5000

***

Relative energies, in meV/atom, with the most stable structure set to zero: version i 0; version ii 17.

***

Version i
DFT (PBE-GGA) results for a geometry-optimized PmNd6Tl2 structure.

Properties
The volume is 33.1 Å³ per atom. The value obtained for the magnetic moment is 0.00 μB per formula unit. As for the crystal system: monoclinic.

Cell: 6.9112 6.9112 12.2573 Å, 107.48 107.48 32.44°
Fractional coordinates of all 9 atoms:
1 Pm 0.0000 0.0000 0.0000
2 Nd 0.0117 0.0117 0.3431
3 Nd 0.3072 0.3072 0.4126
4 Nd 0.3133 0.3133 0.1252
5 Nd 0.6867 0.6867 0.8748
6 Nd 0.6928 0.6928 0.5874
7 Nd 0.9883 0.9883 0.6569
8 Tl 0.3619 0.3619 0.7944
9 Tl 0.6381 0.6381 0.2056

***

Version ii
DFT (PBE-GGA) results for a geometry-optimized PmNd6Tl2 structure.

Properties
The volume is 34.4 Å³ per atom. The value obtained for the magnetic moment is 0.00 μB per formula unit. As for the crystal system: trigonal.

Cell: 7.9194 7.9194 7.9194 Å, 54.94 54.94 54.94°
Fractional coordinates of all 9 atoms:
1 Pm 0.0000 0.0000 0.0000
2 Nd 0.0655 0.0655 0.5540
3 Nd 0.0655 0.5540 0.0655
4 Nd 0.2746 0.2746 0.7254
5 Nd 0.2746 0.7254 0.2746
6 Nd 0.5540 0.0655 0.0655
7 Nd 0.7254 0.2746 0.2746
8 Tl 0.5649 0.5649 0.5649
9 Tl 0.7629 0.7629 0.7629

***

Relative energies, in meV/atom, with the most stable structure set to zero: version i 0; version ii 446.